No. 1
A PBEsol-optimized structure of TiMnSi4, computed with meta-GGA SCAN.

Results
size of the total moment: 2.23 μB/cell
mass density: 4.8 g/cm3
volume: 12.49 A^3/atom
E_form (uncorrected): -2.1 eV/f.u.

Unit cell a=4.4958 b=4.5232 c=12.7058 alpha=90.00 beta=90.00 gamma=119.51
Last column: magnetic moment on the atom in μB.
Fractional positions:
Si: 0.1650 0.8320 0.4154  0.00
Si: 0.3312 0.1611 0.2477  0.00
Si: 0.1668 0.8433 0.9213  -0.02
Si: 0.1678 0.3286 0.5824  -0.04
Si: 0.1603 0.3344 0.0862  -0.01
Si: 0.8332 0.1567 0.9213  -0.02
Si: 0.6761 0.8412 0.7475  -0.02
Si: 0.8397 0.6656 0.0862  -0.01
Si: 0.8350 0.1680 0.4154  0.00
Si: 0.8322 0.6714 0.5824  -0.04
Si: 0.3239 0.1588 0.7475  -0.02
Si: 0.6688 0.8389 0.2477  0.00
Ti: 0.0000 0.5000 0.7515  0.15
Ti: 0.5000 0.5000 0.9186  0.06
Ti: 0.5000 0.5000 0.4138  0.08
Mn: 0.5000 0.0000 0.5826  1.91
Mn: 0.0000 0.5000 0.2445  -1.42
Mn: 0.5000 0.0000 0.0883  1.76

No. 2
A PBEsol-optimized structure of ReSe2Br, computed with meta-GGA SCAN.

Results
size of the total moment: 0.00 μB/cell
E above lowest polymorph: 0 meV/atom
mass density: 8.3 g/cm3
volume: 21.25 A^3/atom
E_form (uncorrected): 0.9 eV/f.u.

Unit cell a=2.6619 b=3.2327 c=9.8768 alpha=90.00 beta=90.17 gamma=90.00
Fractional positions:
Se: 0.0026 0.0000 0.1947
Se: 0.9974 0.0000 0.8053
Re: 0.0000 0.5000 0.0000
Br: 0.5000 0.5000 0.5000